# Tb7Ho6Er16

Tb7Ho6Er16 after structural relaxation (PBE, Alexandria).

Its calculated density is 8.4 Mg/m³. The magnetization comes out at 0.002 μB/atom. For the total energy, the calculation gives -125.41 eV per cell. Its formation energy is 258 meV/atom.

Lattice parameters (Å, degrees): 11.009 11.009 11.009 60.00 60.00 60.00
Positions (direct):
Tb: 0.000 0.000 0.000
Tb: 0.000 0.000 0.500
Tb: 0.000 0.500 0.000
Tb: 0.000 0.500 0.500
Tb: 0.500 0.000 0.000
Tb: 0.500 0.000 0.500
Tb: 0.500 0.500 0.000
Ho: 0.274 0.274 0.726
Ho: 0.274 0.726 0.274
Ho: 0.274 0.726 0.726
Ho: 0.726 0.274 0.274
Ho: 0.726 0.274 0.726
Ho: 0.726 0.726 0.274
Er: 0.046 0.651 0.651
Er: 0.124 0.124 0.124
Er: 0.124 0.124 0.627
Er: 0.124 0.627 0.124
Er: 0.349 0.349 0.349
Er: 0.349 0.349 0.954
Er: 0.349 0.954 0.349
Er: 0.373 0.876 0.876
Er: 0.627 0.124 0.124
Er: 0.651 0.046 0.651
Er: 0.651 0.651 0.046
Er: 0.651 0.651 0.651
Er: 0.876 0.373 0.876
Er: 0.876 0.876 0.373
Er: 0.876 0.876 0.876
Er: 0.954 0.349 0.349

# TbHo6Er4

TbHo6Er4 after structural relaxation (PBE, Alexandria).

Its calculated density is 8.9 Mg/m³. The magnetization comes out at 0.000 μB/atom. For the total energy, the calculation gives -97.86 eV per cell. Its formation energy is 129 meV/atom.

Lattice parameters (Å, degrees): 5.540 5.540 25.413 90.00 90.00 119.04
Positions (direct):
Tb: 0.183 0.817 0.750
Tb: 0.817 0.183 0.250
Ho: 0.147 0.853 0.181
Ho: 0.147 0.853 0.319
Ho: 0.186 0.814 0.603
Ho: 0.186 0.814 0.897
Ho: 0.483 0.517 0.250
Ho: 0.500 0.500 0.000
Ho: 0.500 0.500 0.500
Ho: 0.517 0.483 0.750
Ho: 0.814 0.186 0.103
Ho: 0.814 0.186 0.397
Ho: 0.853 0.147 0.681
Ho: 0.853 0.147 0.819
Er: 0.159 0.841 0.042
Er: 0.159 0.841 0.458
Er: 0.477 0.523 0.121
Er: 0.477 0.523 0.379
Er: 0.523 0.477 0.621
Er: 0.523 0.477 0.879
Er: 0.841 0.159 0.542
Er: 0.841 0.159 0.958

# Tb10HoEr4

Tb10HoEr4 after structural relaxation (PBE, Alexandria).

Its calculated density is 7.2 Mg/m³. The magnetization comes out at 0.000 μB/atom. For the total energy, the calculation gives -58.34 eV per cell. Its formation energy is 720 meV/atom.

Lattice parameters (Å, degrees): 9.359 9.359 9.359 99.59 99.59 131.81
Positions (direct):
Tb: 0.050 0.350 0.899
Tb: 0.150 0.050 0.700
Tb: 0.250 0.750 0.500
Tb: 0.350 0.451 0.300
Tb: 0.451 0.150 0.101
Tb: 0.549 0.850 0.899
Tb: 0.650 0.549 0.700
Tb: 0.750 0.250 0.500
Tb: 0.850 0.950 0.300
Tb: 0.950 0.650 0.101
Ho: 0.000 0.000 0.000
Er: 0.200 0.400 0.600
Er: 0.400 0.800 0.199
Er: 0.600 0.200 0.801
Er: 0.800 0.600 0.400

# TbHo12Er3

TbHo12Er3 after structural relaxation (PBE, Alexandria).

Its calculated density is 8.9 Mg/m³. The magnetization comes out at 0.000 μB/atom. For the total energy, the calculation gives -72.93 eV per cell. Its formation energy is 20 meV/atom.

Lattice parameters (Å, degrees): 4.972 4.972 19.873 90.00 90.00 90.00
Positions (direct):
Tb: 0.000 0.000 0.000
Ho: 0.000 0.500 0.126
Ho: 0.000 0.500 0.375
Ho: 0.000 0.500 0.625
Ho: 0.000 0.500 0.874
Ho: 0.500 0.000 0.126
Ho: 0.500 0.000 0.375
Ho: 0.500 0.000 0.625
Ho: 0.500 0.000 0.874
Ho: 0.500 0.500 0.000
Ho: 0.500 0.500 0.251
Ho: 0.500 0.500 0.500
Ho: 0.500 0.500 0.749
Er: 0.000 0.000 0.250
Er: 0.000 0.000 0.500
Er: 0.000 0.000 0.750

# Tb5Ho7Er

Tb5Ho7Er after structural relaxation (PBE, Alexandria).

Its calculated density is 8.4 Mg/m³. The magnetization comes out at 0.000 μB/atom. For the total energy, the calculation gives -56.38 eV per cell. Its formation energy is 260 meV/atom.

Lattice parameters (Å, degrees): 8.621 8.621 8.621 134.68 100.52 96.57
Positions (direct):
Tb: 0.000 0.000 0.000
Tb: 0.275 0.232 0.504
Tb: 0.275 0.771 0.043
Tb: 0.728 0.232 0.957
Tb: 0.728 0.771 0.496
Ho: 0.001 0.501 0.500
Ho: 0.082 0.252 0.830
Ho: 0.307 0.807 0.500
Ho: 0.421 0.252 0.170
Ho: 0.501 0.501 0.000
Ho: 0.580 0.750 0.830
Ho: 0.920 0.750 0.170
Er: 0.694 0.194 0.500

# Tb2HoEr

Tb2HoEr after structural relaxation (PBE, Alexandria).

Its calculated density is 8.5 Mg/m³. The magnetization comes out at 0.000 μB/atom. For the total energy, the calculation gives -36.75 eV per cell. Its formation energy is 6 meV/atom.

Lattice parameters (Å, degrees): 5.600 7.228 6.249 90.00 90.00 90.00
Positions (direct):
Tb: 0.250 0.000 0.168
Tb: 0.250 0.500 0.168
Tb: 0.750 0.000 0.832
Tb: 0.750 0.500 0.832
Ho: 0.250 0.250 0.666
Ho: 0.750 0.750 0.334
Er: 0.250 0.750 0.666
Er: 0.750 0.250 0.334

# Tb8Ho3Er

Tb8Ho3Er after structural relaxation (PBE, Alexandria).

Its calculated density is 7.2 Mg/m³. The magnetization comes out at 0.000 μB/atom. For the total energy, the calculation gives -46.67 eV per cell. Its formation energy is 722 meV/atom.

Lattice parameters (Å, degrees): 9.370 9.370 9.370 131.80 131.80 70.54
Positions (direct):
Tb: 0.125 0.125 0.500
Tb: 0.125 0.625 0.000
Tb: 0.375 0.375 0.500
Tb: 0.375 0.875 0.000
Tb: 0.625 0.125 0.000
Tb: 0.625 0.625 0.500
Tb: 0.875 0.375 0.000
Tb: 0.875 0.875 0.500
Ho: 0.000 0.000 0.000
Ho: 0.250 0.750 0.500
Ho: 0.750 0.250 0.500
Er: 0.500 0.500 0.000

# TbHo6Er3

TbHo6Er3 after structural relaxation (PBE, Alexandria).

Its calculated density is 8.8 Mg/m³. The magnetization comes out at 0.000 μB/atom. For the total energy, the calculation gives -89.07 eV per cell. Its formation energy is 125 meV/atom.

Lattice parameters (Å, degrees): 11.406 11.406 6.305 90.00 90.00 130.60
Positions (direct):
Tb: 0.162 0.838 0.500
Tb: 0.838 0.162 0.000
Ho: 0.015 0.985 0.695
Ho: 0.105 0.543 0.185
Ho: 0.259 0.379 0.944
Ho: 0.301 0.699 0.727
Ho: 0.379 0.259 0.444
Ho: 0.457 0.895 0.185
Ho: 0.543 0.105 0.685
Ho: 0.621 0.741 0.944
Ho: 0.699 0.301 0.227
Ho: 0.741 0.621 0.444
Ho: 0.895 0.457 0.685
Ho: 0.985 0.015 0.195
Er: 0.043 0.296 0.525
Er: 0.296 0.043 0.025
Er: 0.419 0.581 0.419
Er: 0.581 0.419 0.919
Er: 0.704 0.957 0.525
Er: 0.957 0.704 0.025

# TbHo12Er2

TbHo12Er2 after structural relaxation (PBE, Alexandria).

Its calculated density is 8.8 Mg/m³. The magnetization comes out at 0.000 μB/atom. For the total energy, the calculation gives -66.91 eV per cell. Its formation energy is 119 meV/atom.

Lattice parameters (Å, degrees): 3.529 5.523 24.094 90.00 94.17 90.00
Positions (direct):
Tb: 0.000 0.000 0.000
Ho: 0.067 0.000 0.138
Ho: 0.098 0.500 0.202
Ho: 0.164 0.500 0.330
Ho: 0.214 0.000 0.425
Ho: 0.276 0.500 0.555
Ho: 0.465 0.500 0.926
Ho: 0.535 0.500 0.074
Ho: 0.724 0.500 0.445
Ho: 0.786 0.000 0.575
Ho: 0.836 0.500 0.670
Ho: 0.902 0.500 0.798
Ho: 0.933 0.000 0.862
Er: 0.367 0.000 0.728
Er: 0.633 0.000 0.272

# TbHo4Er3

TbHo4Er3 after structural relaxation (PBE, Alexandria).

Its calculated density is 8.8 Mg/m³. The magnetization comes out at 0.000 μB/atom. For the total energy, the calculation gives -73.24 eV per cell. Its formation energy is 1 meV/atom.

Lattice parameters (Å, degrees): 11.122 7.198 6.223 90.00 90.00 90.00
Positions (direct):
Tb: 0.000 0.125 0.000
Tb: 0.500 0.875 0.500
Ho: 0.000 0.375 0.500
Ho: 0.000 0.625 0.999
Ho: 0.249 0.625 0.333
Ho: 0.251 0.375 0.833
Ho: 0.500 0.375 0.499
Ho: 0.500 0.625 0.000
Ho: 0.749 0.375 0.833
Ho: 0.751 0.625 0.333
Er: 0.000 0.875 0.500
Er: 0.250 0.125 0.333
Er: 0.250 0.875 0.833
Er: 0.500 0.125 0.000
Er: 0.750 0.125 0.333
Er: 0.750 0.875 0.833

# TbHo6Er6

TbHo6Er6 after structural relaxation (PBE, Alexandria).

Its calculated density is 8.6 Mg/m³. The magnetization comes out at 0.000 μB/atom. For the total energy, the calculation gives -56.46 eV per cell. Its formation energy is 232 meV/atom.

Lattice parameters (Å, degrees): 6.492 10.937 6.508 90.00 115.79 90.00
Positions (direct):
Tb: 0.000 0.000 0.000
Ho: 0.000 0.233 0.500
Ho: 0.000 0.767 0.500
Ho: 0.500 0.215 0.000
Ho: 0.500 0.302 0.500
Ho: 0.500 0.698 0.500
Ho: 0.500 0.785 0.000
Er: 0.000 0.337 0.000
Er: 0.000 0.663 0.000
Er: 0.269 0.500 0.741
Er: 0.326 0.000 0.611
Er: 0.674 0.000 0.389
Er: 0.731 0.500 0.259

# TbHo4Er2

TbHo4Er2 after structural relaxation (PBE, Alexandria).

Its calculated density is 8.8 Mg/m³. The magnetization comes out at 0.000 μB/atom. For the total energy, the calculation gives -62.17 eV per cell. Its formation energy is 140 meV/atom.

Lattice parameters (Å, degrees): 6.022 6.508 11.430 90.00 104.53 90.00
Positions (direct):
Tb: 0.028 0.250 0.358
Tb: 0.972 0.750 0.642
Ho: 0.152 0.250 0.659
Ho: 0.284 0.750 0.927
Ho: 0.348 0.505 0.211
Ho: 0.348 0.995 0.211
Ho: 0.652 0.005 0.789
Ho: 0.652 0.495 0.789
Ho: 0.716 0.250 0.073
Ho: 0.848 0.750 0.341
Er: 0.153 0.250 0.944
Er: 0.398 0.750 0.505
Er: 0.602 0.250 0.495
Er: 0.847 0.750 0.056

# Tb2Ho3Er4

Tb2Ho3Er4 after structural relaxation (PBE, Alexandria).

Its calculated density is 8.9 Mg/m³. The magnetization comes out at 0.000 μB/atom. For the total energy, the calculation gives -80.66 eV per cell. Its formation energy is 102 meV/atom.

Lattice parameters (Å, degrees): 9.851 9.851 6.066 94.80 94.80 71.10
Positions (direct):
Tb: 0.022 0.735 0.679
Tb: 0.265 0.978 0.821
Tb: 0.735 0.022 0.179
Tb: 0.978 0.265 0.321
Ho: 0.096 0.904 0.250
Ho: 0.237 0.431 0.411
Ho: 0.431 0.237 0.911
Ho: 0.569 0.763 0.089
Ho: 0.763 0.569 0.589
Ho: 0.904 0.096 0.750
Er: 0.073 0.355 0.848
Er: 0.312 0.596 0.986
Er: 0.355 0.073 0.348
Er: 0.404 0.688 0.514
Er: 0.596 0.312 0.486
Er: 0.645 0.927 0.652
Er: 0.688 0.404 0.014
Er: 0.927 0.645 0.152

# Tb4Ho5Er3

Tb4Ho5Er3 after structural relaxation (PBE, Alexandria).

Its calculated density is 8.5 Mg/m³. The magnetization comes out at 0.044 μB/atom. For the total energy, the calculation gives -52.18 eV per cell. Its formation energy is 243 meV/atom.

Lattice parameters (Å, degrees): 8.475 8.475 9.200 114.78 114.78 40.24
Positions (direct):
Tb: 0.081 0.081 0.441
Tb: 0.214 0.214 0.879
Tb: 0.786 0.786 0.121
Tb: 0.919 0.919 0.559
Ho: 0.000 0.000 0.000
Ho: 0.327 0.327 0.614
Ho: 0.427 0.427 0.298
Ho: 0.573 0.573 0.702
Ho: 0.673 0.673 0.386
Er: 0.210 0.210 0.233
Er: 0.500 0.500 0.000
Er: 0.790 0.790 0.767

# TbHo5Er4

TbHo5Er4 after structural relaxation (PBE, Alexandria).

Its calculated density is 8.8 Mg/m³. The magnetization comes out at 0.000 μB/atom. For the total energy, the calculation gives -45.76 eV per cell. Its formation energy is 1 meV/atom.

Lattice parameters (Å, degrees): 6.209 6.635 9.094 107.61 90.01 117.90
Positions (direct):
Tb: 0.000 0.000 0.000
Ho: 0.133 0.600 0.100
Ho: 0.401 0.800 0.799
Ho: 0.532 0.399 0.900
Ho: 0.733 0.799 0.301
Ho: 0.800 0.600 0.600
Er: 0.200 0.400 0.400
Er: 0.333 0.000 0.500
Er: 0.601 0.200 0.201
Er: 0.933 0.200 0.699

# Tb6Ho5Er2

Tb6Ho5Er2 after structural relaxation (PBE, Alexandria).

Its calculated density is 8.5 Mg/m³. The magnetization comes out at 0.000 μB/atom. For the total energy, the calculation gives -117.01 eV per cell. Its formation energy is 99 meV/atom.

Lattice parameters (Å, degrees): 11.544 20.109 3.556 90.00 90.00 90.00
Positions (direct):
Tb: 0.059 0.081 0.000
Tb: 0.083 0.368 0.000
Tb: 0.172 0.636 0.500
Tb: 0.328 0.136 0.500
Tb: 0.417 0.868 0.000
Tb: 0.441 0.581 0.000
Tb: 0.559 0.419 0.000
Tb: 0.583 0.132 0.000
Tb: 0.672 0.864 0.500
Tb: 0.828 0.364 0.500
Tb: 0.917 0.632 0.000
Tb: 0.941 0.919 0.000
Ho: 0.000 0.500 0.500
Ho: 0.091 0.227 0.500
Ho: 0.198 0.948 0.500
Ho: 0.302 0.448 0.500
Ho: 0.409 0.727 0.500
Ho: 0.500 0.000 0.500
Ho: 0.591 0.273 0.500
Ho: 0.698 0.552 0.500
Ho: 0.802 0.052 0.500
Ho: 0.909 0.773 0.500
Er: 0.167 0.790 0.000
Er: 0.333 0.290 0.000
Er: 0.667 0.710 0.000
Er: 0.833 0.210 0.000

# Tb4Ho5Er4

Tb4Ho5Er4 after structural relaxation (PBE, Alexandria).

Its calculated density is 8.8 Mg/m³. The magnetization comes out at 0.000 μB/atom. For the total energy, the calculation gives -59.42 eV per cell. Its formation energy is 19 meV/atom.

Lattice parameters (Å, degrees): 9.316 9.316 9.316 94.09 94.09 149.03
Positions (direct):
Tb: 0.154 0.231 0.384
Tb: 0.231 0.846 0.077
Tb: 0.769 0.154 0.923
Tb: 0.846 0.769 0.616
Ho: 0.000 0.000 0.000
Ho: 0.307 0.462 0.769
Ho: 0.462 0.693 0.154
Ho: 0.538 0.307 0.846
Ho: 0.693 0.538 0.231
Er: 0.077 0.615 0.692
Er: 0.385 0.077 0.462
Er: 0.615 0.923 0.538
Er: 0.923 0.385 0.308